Entry 1:
! Li4AcMg2, optimized geometry, DFT PBE; values from VASP
! space-group type = I4/mmm
! crystal system = tetragonal
! final energy = -0.13695 Ry per atom
&SYSTEM
  ibrav = 0, nat = 7, ntyp = 3
/
ATOMIC_SPECIES
Li 6.94 Li.upf
Ac 227.00 Ac.upf
Mg 24.30 Mg.upf
CELL_PARAMETERS angstrom
-6.0292 -1.4135 -0.7514
3.1763 -4.8313 2.3416
0.4417 4.7870 3.9753
ATOMIC_POSITIONS crystal
Li 0.7348 0.5000 0.2348
Li 0.5000 0.7348 0.2348
Li 0.5000 0.2652 0.7652
Li 0.2652 0.5000 0.7652
Ac 0.0000 0.0000 0.0000
Mg 0.2500 0.7500 0.5000
Mg 0.7500 0.2500 0.5000

Entry 2:
! LiAcMg3, optimized geometry, DFT PBE; values from VASP
! space-group type = P6_3/mmc
! crystal system = hexagonal
! final energy = -0.16057 Ry per atom
&SYSTEM
  ibrav = 0, nat = 10, ntyp = 3
/
ATOMIC_SPECIES
Li 6.94 Li.upf
Ac 227.00 Ac.upf
Mg 24.30 Mg.upf
CELL_PARAMETERS angstrom
5.9826 0.0002 -0.0002
-0.0002 7.2148 0.0003
0.0003 -3.6075 6.2471
ATOMIC_POSITIONS crystal
Li 0.0000 0.0000 0.0000
Li 0.5000 0.0000 0.0000
Ac 0.7500 0.6670 0.3335
Ac 0.2500 0.3331 0.6666
Mg 0.7500 0.6272 0.8136
Mg 0.2500 0.8134 0.6273
Mg 0.2500 0.3728 0.1865
Mg 0.7500 0.1866 0.3727
Mg 0.2500 0.8135 0.1861
Mg 0.7500 0.1866 0.8139

Which value of final energy does entry 1 give?
-0.13695 Ry per atom